Entry from the Alexandria database: Ac2InSb3Rh6 after structural relaxation (PBE).

## Properties
M_tot ... 0.000 μB per formula unit
Total energy ... -0.223 Ha/atom
DOS(E_F) ... 0.5610 states/eV per atom
Space group ... No. 123
Energy relative to the elements, uncorrected ... -0.456 eV per atom

Cell: 4.2300 4.2300 16.4063 Å, 90.00 90.00 90.00°
Last column: nearest neighbours and their distance in Å.
Positions (direct):
Ac (0.0000, 0.0000, 0.1767)  4 Rh 3.01
Ac (0.0000, 0.0000, 0.8233)  4 Rh 3.01
In (0.0000, 0.0000, 0.5000)  8 Rh 2.70
Sb (0.5000, 0.5000, 0.0000)  2 Rh 2.52
Sb (0.5000, 0.5000, 0.3107)  5 Rh 2.55-2.58
Sb (0.5000, 0.5000, 0.6893)  5 Rh 2.55-2.58
Rh (0.0000, 0.5000, 0.3977)  2 Sb 2.55, 2 In 2.70
Rh (0.0000, 0.5000, 0.6023)  2 Sb 2.55, 2 In 2.70
Rh (0.5000, 0.0000, 0.3977)  2 Sb 2.55, 2 In 2.70
Rh (0.5000, 0.0000, 0.6023)  2 Sb 2.55, 2 In 2.70
Rh (0.5000, 0.5000, 0.1536)  2 Sb 2.52-2.58
Rh (0.5000, 0.5000, 0.8464)  2 Sb 2.52-2.58

Entry from the Alexandria database: Sr2AsPb after structural relaxation (PBE).

## Properties
M_tot ... 0.000 μB per formula unit
Total energy ... -0.125 Ha/atom
DOS(E_F) ... 0.8824 states/eV per atom
Space group ... No. 47
Energy relative to the lowest polymorph listed for this composition ... 0.97 eV/f.u.

Cell: 3.7160 5.5423 6.6211 Å, 90.00 90.00 90.00°
Last column: nearest neighbours and their distance in Å.
Positions (direct):
Sr (0.0000, 0.0000, 0.0000)  2 As 3.31, 4 Pb 3.34
Sr (0.5000, 0.5000, 0.5000)  2 Pb 3.31, 4 As 3.34
As (0.0000, 0.0000, 0.5000)  6 Sr 3.31-3.34
Pb (0.5000, 0.5000, 0.0000)  6 Sr 3.31-3.34

Entry from the Alexandria database: CsK3Pb after structural relaxation (PBE).

## Properties
M_tot ... 0.000 μB per formula unit
Total energy ... -0.059 Ha/atom
DOS(E_F) ... 0.6907 states/eV per atom
Space group ... No. 15
Energy relative to the lowest polymorph listed for this composition ... 0.04 eV/f.u.

Cell: 13.0155 13.0155 8.6945 Å, 99.87 99.87 61.04°
Last column: nearest neighbours and their distance in Å.
Positions (direct):
Cs (0.0485, 0.9515, 0.7500)  2 Pb 4.04
Cs (0.3686, 0.6314, 0.2500)  6 Pb 4.22-4.63, 4 K 4.54-4.58
Cs (0.6314, 0.3686, 0.7500)  6 Pb 4.22-4.63, 4 K 4.54-4.58
Cs (0.9515, 0.0485, 0.2500)  2 Pb 4.04
K (0.0014, 0.3401, 0.5790)  1 Pb 3.76
K (0.0061, 0.6567, 0.9147)  1 Pb 3.76
K (0.3343, 0.3366, 0.4121)  2 Pb 3.76
K (0.3366, 0.3343, 0.9121)  2 Pb 3.76
K (0.3401, 0.0014, 0.0790)  1 Pb 3.76
K (0.3433, 0.9939, 0.5853)  1 Pb 3.76
K (0.6567, 0.0061, 0.4147)  1 Pb 3.76
K (0.6599, 0.9986, 0.9210)  1 Pb 3.76
K (0.6634, 0.6657, 0.0879)  2 Pb 3.76
K (0.6657, 0.6634, 0.5879)  2 Pb 3.76
K (0.9939, 0.3433, 0.0853)  1 Pb 3.76
K (0.9986, 0.6599, 0.4210)  1 Pb 3.76
Pb (0.2654, 0.5994, 0.7136)  1 Pb 2.97
Pb (0.4006, 0.7346, 0.7864)  1 Pb 2.97
Pb (0.5994, 0.2654, 0.2136)  1 Pb 2.97
Pb (0.7346, 0.4006, 0.2864)  1 Pb 2.97

Entry from the Alexandria database: Tb4TlBiN after structural relaxation (PBE).

## Properties
M_tot ... 0.000 μB per formula unit
Total energy ... -0.205 Ha/atom
DOS(E_F) ... 0.5801 states/eV per atom
Space group ... No. 63
Energy relative to the elements, uncorrected ... -0.840 eV per atom

Cell: 8.7207 8.7207 6.7488 Å, 90.00 90.00 134.51°
Last column: nearest neighbours and their distance in Å.
Positions (direct):
Tb (0.0000, 0.5000, 0.0000)  2 N 2.39
Tb (0.0000, 0.5000, 0.5000)  2 N 2.39
Tb (0.0903, 0.9097, 0.7500)  1 N 2.52
Tb (0.4045, 0.5955, 0.7500)  1 N 2.53
Tb (0.5000, 0.0000, 0.0000)  2 N 2.39
Tb (0.5000, 0.0000, 0.5000)  2 N 2.39
Tb (0.5955, 0.4045, 0.2500)  1 N 2.53
Tb (0.9097, 0.0903, 0.2500)  1 N 2.52
Tl (0.1088, 0.8912, 0.2500)  9 Tb 3.20-3.39
Tl (0.8912, 0.1088, 0.7500)  9 Tb 3.20-3.39
Bi (0.3952, 0.6048, 0.2500)  9 Tb 3.22-3.38
Bi (0.6048, 0.3952, 0.7500)  9 Tb 3.22-3.38
N (0.2471, 0.7529, 0.7500)  6 Tb 2.39-2.53
N (0.7529, 0.2471, 0.2500)  6 Tb 2.39-2.53

Entry from the Alexandria database: Be3InGa after structural relaxation (PBE).

## Properties
M_tot ... 0.000 μB per formula unit
Total energy ... -0.096 Ha/atom
DOS(E_F) ... 0.3456 states/eV per atom
Space group ... No. 221
Energy relative to the lowest polymorph listed for this composition ... 0.00 eV/f.u.

Cell: 4.3485 4.3485 4.3485 Å, 90.00 90.00 90.00°
Last column: nearest neighbours and their distance in Å.
Positions (direct):
Be (0.0000, 0.0000, 0.5000)  2 Ga 2.17
Be (0.0000, 0.5000, 0.0000)  2 Ga 2.17
Be (0.5000, 0.0000, 0.0000)  2 Ga 2.17
In (0.5000, 0.5000, 0.5000)  12 Be 3.07
Ga (0.0000, 0.0000, 0.0000)  6 Be 2.17

Entry from the Alexandria database: TbCe2Y6Ho3 after structural relaxation (PBE).

## Properties
M_tot ... 1.839 μB per formula unit
Total energy ... -0.209 Ha/atom
DOS(E_F) ... 1.8965 states/eV per atom
Space group ... No. 12

Cell: 6.1539 6.1539 11.7678 Å, 95.00 95.00 119.99°
Last column: nearest neighbours and their distance in Å.
Positions (direct):
Tb (0.0000, 0.0000, 0.0000)  6 Y 3.55, 6 Ce 3.55
Ce (0.3334, 0.6666, 0.0000)  6 Y 3.54, 3 Ce 3.55, 3 Tb 3.55
Ce (0.6666, 0.3334, 0.0000)  6 Y 3.54, 3 Ce 3.55, 3 Tb 3.55
Y (0.0836, 0.4189, 0.2496)  2 Ce 3.54, 6 Y 3.54-3.57, 3 Ho 3.55-3.56, 1 Tb 3.55
Y (0.2518, 0.2518, 0.7503)  6 Y 3.54-3.57, 2 Ce 3.54, 3 Ho 3.55, 1 Tb 3.55
Y (0.4189, 0.0836, 0.2496)  2 Ce 3.54, 6 Y 3.54-3.57, 3 Ho 3.55-3.56, 1 Tb 3.55
Y (0.5811, 0.9164, 0.7504)  2 Ce 3.54, 6 Y 3.54-3.57, 3 Ho 3.55-3.56, 1 Tb 3.55
Y (0.7482, 0.7482, 0.2497)  6 Y 3.54-3.57, 2 Ce 3.54, 3 Ho 3.55, 1 Tb 3.55
Y (0.9164, 0.5811, 0.7504)  2 Ce 3.54, 6 Y 3.54-3.57, 3 Ho 3.55-3.56, 1 Tb 3.55
Ho (0.1661, 0.8339, 0.5000)  6 Ho 3.54-3.56, 6 Y 3.55-3.56
Ho (0.5000, 0.5000, 0.5000)  6 Y 3.55-3.56, 6 Ho 3.55-3.56
Ho (0.8339, 0.1661, 0.5000)  6 Ho 3.54-3.56, 6 Y 3.55-3.56

Entry from the Alexandria database: NbSi2F after structural relaxation (PBE).

## Properties
M_tot ... 0.000 μB per formula unit
Total energy ... -0.208 Ha/atom
DOS(E_F) ... 1.2801 states/eV per atom
Space group ... No. 225
Energy relative to the elements, uncorrected ... 0.039 eV per atom
Energy relative to the lowest polymorph listed for this composition ... 1.12 eV/f.u.

Cell: 4.4076 4.4076 4.4076 Å, 60.00 60.00 60.00°
Last column: nearest neighbours and their distance in Å.
Positions (direct):
Nb (0.0000, 0.0000, 0.0000)  8 Si 2.70
Si (0.2500, 0.2500, 0.2500)  4 F 2.70, 4 Nb 2.70
Si (0.7500, 0.7500, 0.7500)  4 F 2.70, 4 Nb 2.70
F (0.5000, 0.5000, 0.5000)  8 Si 2.70

Entry from the Alexandria database: DyErTcAg after structural relaxation (PBE).

## Properties
M_tot ... 0.000 μB per formula unit
Total energy ... -0.211 Ha/atom
DOS(E_F) ... 0.6982 states/eV per atom
Space group ... No. 216

Cell: 4.9469 4.9469 4.9469 Å, 60.00 60.00 60.00°
Last column: nearest neighbours and their distance in Å.
Positions (direct):
Dy (0.0000, 0.0000, 0.0000)  4 Tc 3.03, 4 Ag 3.03
Er (0.5000, 0.5000, 0.5000)  4 Ag 3.03, 4 Tc 3.03
Tc (0.2500, 0.2500, 0.2500)  4 Dy 3.03, 4 Er 3.03
Ag (0.7500, 0.7500, 0.7500)  4 Er 3.03, 4 Dy 3.03

Entry from the Alexandria database: CeVReTc after structural relaxation (PBE).

## Properties
M_tot ... 0.002 μB per formula unit
Total energy ... -0.344 Ha/atom
DOS(E_F) ... 1.1241 states/eV per atom
Space group ... No. 216

Cell: 4.5657 4.5657 4.5657 Å, 60.00 60.00 60.00°
Last column: nearest neighbours and their distance in Å.
Positions (direct):
Ce (0.0000, 0.0000, 0.0000)  4 Re 2.80, 4 Tc 2.80
V (0.5000, 0.5000, 0.5000)  4 Re 2.80, 4 Tc 2.80
Re (0.2500, 0.2500, 0.2500)  4 V 2.80, 4 Ce 2.80
Tc (0.7500, 0.7500, 0.7500)  4 V 2.80, 4 Ce 2.80

Entry from the Alexandria database: NpCd2F11 after structural relaxation (PBE).

## Properties
M_tot ... 0.062 μB per formula unit
Total energy ... -0.181 Ha/atom
Space group ... No. 72
Energy relative to the elements, uncorrected ... -2.393 eV per atom

Cell: 8.8878 8.8878 8.8878 Å, 127.28 106.22 96.60°
Last column: nearest neighbours and their distance in Å.
Positions (direct):
Np (0.2500, 0.2500, 0.0000)  8 F 2.09-2.10
Np (0.7500, 0.7500, 0.0000)  8 F 2.09-2.10
Cd (0.1796, 0.6151, 0.7947)  3 F 2.09-2.15
Cd (0.3204, 0.1151, 0.4355)  3 F 2.09-2.15
Cd (0.6796, 0.8849, 0.5645)  3 F 2.09-2.15
Cd (0.8204, 0.3849, 0.2053)  3 F 2.09-2.15
F (0.0000, 0.5000, 0.5000)  2 Cd 2.12
F (0.0006, 0.0701, 0.7625)  1 Np 2.10
F (0.0904, 0.3538, 0.1431)  1 Np 2.09
F (0.1924, 0.4299, 0.9304)  1 Np 2.10
F (0.2107, 0.9474, 0.8569)  1 Np 2.09
F (0.2348, 0.3526, 0.5873)  2 Cd 2.09-2.15
F (0.2652, 0.8526, 0.1178)  2 Cd 2.09-2.15
F (0.2893, 0.1462, 0.7366)  1 Np 2.09
F (0.3076, 0.2381, 0.2375)  1 Np 2.10
F (0.4096, 0.5526, 0.2634)  1 Np 2.09
F (0.4994, 0.2619, 0.0696)  1 Np 2.10
F (0.5000, 0.0000, 0.5000)  2 Cd 2.12
F (0.5006, 0.7381, 0.9304)  1 Np 2.10
F (0.5904, 0.4474, 0.7366)  1 Np 2.09
F (0.6924, 0.7619, 0.7625)  1 Np 2.10
F (0.7107, 0.8538, 0.2634)  1 Np 2.09
F (0.7348, 0.1474, 0.8822)  2 Cd 2.09-2.15
F (0.7652, 0.6474, 0.4127)  2 Cd 2.09-2.15
F (0.7893, 0.0526, 0.1431)  1 Np 2.09
F (0.8076, 0.5701, 0.0696)  1 Np 2.10
F (0.9096, 0.6462, 0.8569)  1 Np 2.09
F (0.9994, 0.9299, 0.2375)  1 Np 2.10

Entry from the Alexandria database: Nd3Mg2Hg4 after structural relaxation (PBE).

## Properties
M_tot ... 0.000 μB per formula unit
Total energy ... -0.091 Ha/atom
DOS(E_F) ... 0.6851 states/eV per atom
Space group ... No. 12

Cell: 6.1840 6.1840 9.3870 Å, 117.22 117.22 48.17°
Last column: nearest neighbours and their distance in Å.
Positions (direct):
Nd (0.0000, 0.0000, 0.0000)  8 Hg 3.33-3.55, 4 Mg 3.48, 2 Nd 3.52
Nd (0.3413, 0.3413, 0.3246)  8 Hg 3.32-3.46, 4 Mg 3.36-3.42, 2 Nd 3.44-3.52
Nd (0.6587, 0.6587, 0.6754)  8 Hg 3.32-3.46, 4 Mg 3.36-3.42, 2 Nd 3.44-3.52
Mg (0.3742, 0.3742, 0.7045)  3 Hg 2.86-2.87
Mg (0.6258, 0.6258, 0.2955)  3 Hg 2.86-2.87
Hg (0.0678, 0.0678, 0.3938)  2 Mg 2.87, 1 Hg 3.06
Hg (0.2880, 0.2880, 0.9432)  1 Mg 2.86, 2 Hg 3.03
Hg (0.7120, 0.7120, 0.0568)  1 Mg 2.86, 2 Hg 3.03
Hg (0.9322, 0.9322, 0.6062)  2 Mg 2.87, 1 Hg 3.06

Entry from the Alexandria database: Nd3Sm3Th4 after structural relaxation (PBE).

## Properties
M_tot ... 0.000 μB per formula unit
Total energy ... -0.206 Ha/atom
DOS(E_F) ... 1.2010 states/eV per atom
Space group ... No. 38

Cell: 4.0631 9.2516 9.2516 Å, 90.07 90.00 90.00°
Last column: nearest neighbours and their distance in Å.
Positions (direct):
Nd (0.0000, 0.0000, 0.0000)  6 Th 3.37-3.42
Nd (0.5000, 0.1632, 0.6616)  4 Th 3.60-3.63, 6 Sm 4.01-4.02, 2 Nd 4.03
Nd (0.5000, 0.6616, 0.1632)  4 Th 3.60-3.63, 6 Sm 4.01-4.02, 2 Nd 4.03
Sm (0.0000, 0.3251, 0.3251)  6 Th 3.37-3.41
Sm (0.0000, 0.5002, 0.8249)  6 Th 3.37-3.41
Sm (0.0000, 0.8249, 0.5002)  6 Th 3.37-3.41
Th (0.5000, 0.0301, 0.2955)  4 Sm 3.37-3.41, 4 Nd 3.42-3.62, 1 Th 3.47
Th (0.5000, 0.2955, 0.0301)  4 Sm 3.37-3.41, 4 Nd 3.42-3.62, 1 Th 3.47
Th (0.5000, 0.5304, 0.5304)  6 Sm 3.37-3.41, 1 Th 3.46, 2 Nd 3.61
Th (0.5000, 0.7947, 0.7947)  4 Nd 3.37-3.63, 4 Sm 3.41, 1 Th 3.46